A:
# ZrTcOs2 (PBE, relaxed)
# Theoretical density   14.37 Mg/m³
# SG   P4mm, No. 99
# Total magnetization   0.0000 μB/atom
# DOS(E_F)   4.75 states/eV per cell
data_ZrTcOs2
_chemical_formula_sum 'Zr1 Tc1 Os2'
_cell_length_a 3.235
_cell_length_b 3.235
_cell_length_c 6.289
_cell_angle_alpha 90.00
_cell_angle_beta 90.00
_cell_angle_gamma 90.00
_space_group_name_H-M_alt 'P 1'
_space_group_IT_number 1
loop_
_space_group_symop_operation_xyz
'x,y,z'
loop_
_atom_site_label
_atom_site_fract_x
_atom_site_fract_y
_atom_site_fract_z
Os1 0.000 0.000 0.012
Os2 0.500 0.500 0.270
Zr1 0.500 0.500 0.757
Tc1 0.000 0.000 0.462

=====

B:
# ZrTcOs2 (PBE, relaxed)
# Theoretical density   14.68 Mg/m³
# SG   P4/mmm, No. 123
# Total magnetization   0.0000 μB/atom
# DOS(E_F)   3.88 states/eV per cell
data_ZrTcOs2
_chemical_formula_sum 'Zr1 Tc1 Os2'
_cell_length_a 2.864
_cell_length_b 2.864
_cell_length_c 7.857
_cell_angle_alpha 90.00
_cell_angle_beta 90.00
_cell_angle_gamma 90.00
_space_group_name_H-M_alt 'P 1'
_space_group_IT_number 1
loop_
_space_group_symop_operation_xyz
'x,y,z'
loop_
_atom_site_label
_atom_site_fract_x
_atom_site_fract_y
_atom_site_fract_z
Os1 0.000 0.000 0.027
Os2 0.000 0.000 0.473
Tc1 0.500 0.500 0.250
Zr1 0.500 0.500 0.750

=====

Of them, B has the highest stability.

=====

A:
# Zr3TcOs (PBE, relaxed)
# Theoretical density   8.06 Mg/m³
# SG   Pm-3m, No. 221
# Total magnetization   0.0000 μB/atom
# DOS(E_F)   4.91 states/eV per cell
data_Zr3TcOs
_chemical_formula_sum 'Zr3 Tc1 Os1'
_cell_length_a 4.874
_cell_length_b 4.874
_cell_length_c 4.874
_cell_angle_alpha 90.00
_cell_angle_beta 90.00
_cell_angle_gamma 90.00
_space_group_name_H-M_alt 'P 1'
_space_group_IT_number 1
loop_
_space_group_symop_operation_xyz
'x,y,z'
loop_
_atom_site_label
_atom_site_fract_x
_atom_site_fract_y
_atom_site_fract_z
Zr1 0.000 0.500 0.000
Zr2 0.500 0.000 0.000
Zr3 0.000 0.000 0.500
Tc1 0.000 0.000 0.000
Os1 0.500 0.500 0.500

=====

B:
# Zr3TcOs (PBE, relaxed)
# Theoretical density   7.59 Mg/m³
# SG   Pm-3m, No. 221
# Total magnetization   0.0000 μB/atom
# DOS(E_F)   6.71 states/eV per cell
data_Zr3TcOs
_chemical_formula_sum 'Zr3 Tc1 Os1'
_cell_length_a 4.973
_cell_length_b 4.973
_cell_length_c 4.973
_cell_angle_alpha 90.00
_cell_angle_beta 90.00
_cell_angle_gamma 90.00
_space_group_name_H-M_alt 'P 1'
_space_group_IT_number 1
loop_
_space_group_symop_operation_xyz
'x,y,z'
loop_
_atom_site_label
_atom_site_fract_x
_atom_site_fract_y
_atom_site_fract_z
Zr1 0.000 0.500 0.000
Zr2 0.000 0.000 0.500
Zr3 0.500 0.000 0.000
Tc1 0.500 0.500 0.500
Os1 0.000 0.000 0.000

=====

Of them, B has the highest stability.

=====

A:
# ZrTcOs (PBE, relaxed)
# Theoretical density   12.68 Mg/m³
# SG   P3m1, No. 156
# Total magnetization   0.0000 μB/atom
# DOS(E_F)   2.90 states/eV per cell
data_ZrTcOs
_chemical_formula_sum 'Zr1 Tc1 Os1'
_cell_length_a 4.486
_cell_length_b 4.486
_cell_length_c 2.852
_cell_angle_alpha 90.00
_cell_angle_beta 90.00
_cell_angle_gamma 120.00
_space_group_name_H-M_alt 'P 1'
_space_group_IT_number 1
loop_
_space_group_symop_operation_xyz
'x,y,z'
loop_
_atom_site_label
_atom_site_fract_x
_atom_site_fract_y
_atom_site_fract_z
Tc1 0.667 0.333 0.347
Os1 0.000 0.000 0.993
Zr1 0.333 0.667 0.660

=====

B:
# ZrTcOs (PBE, relaxed)
# Theoretical density   12.31 Mg/m³
# SG   I4mm, No. 107
# Total magnetization   0.0001 μB/atom
# DOS(E_F)   4.31 states/eV per cell
data_ZrTcOs
_chemical_formula_sum 'Zr1 Tc1 Os1'
_cell_length_a 6.323
_cell_length_b 6.323
_cell_length_c 2.927
_cell_angle_alpha 76.62
_cell_angle_beta 76.62
_cell_angle_gamma 26.77
_space_group_name_H-M_alt 'P 1'
_space_group_IT_number 1
loop_
_space_group_symop_operation_xyz
'x,y,z'
loop_
_atom_site_label
_atom_site_fract_x
_atom_site_fract_y
_atom_site_fract_z
Zr1 0.664 0.664 0.336
Os1 0.983 0.983 0.017
Tc1 0.352 0.352 0.648

=====

C:
# ZrTcOs (PBE, relaxed)
# Theoretical density   12.41 Mg/m³
# SG   Imm2, No. 44
# Total magnetization   0.0000 μB/atom
# DOS(E_F)   3.61 states/eV per cell
data_ZrTcOs
_chemical_formula_sum 'Zr1 Tc1 Os1'
_cell_length_a 5.146
_cell_length_b 5.146
_cell_length_c 5.146
_cell_angle_alpha 147.06
_cell_angle_beta 136.39
_cell_angle_gamma 55.72
_space_group_name_H-M_alt 'P 1'
_space_group_IT_number 1
loop_
_space_group_symop_operation_xyz
'x,y,z'
loop_
_atom_site_label
_atom_site_fract_x
_atom_site_fract_y
_atom_site_fract_z
Zr1 0.666 0.666 0.000
Tc1 0.351 0.351 0.000
Os1 0.983 0.983 0.000

=====

Of them, B has the highest stability.

=====

A:
# Zr3TcOs2 (PBE, relaxed)
# Theoretical density   11.72 Mg/m³
# SG   Cmmm, No. 65
# Total magnetization   0.0000 μB/atom
# DOS(E_F)   2.73 states/eV per cell
data_Zr3TcOs2
_chemical_formula_sum 'Zr3 Tc1 Os2'
_cell_length_a 3.286
_cell_length_b 4.651
_cell_length_c 7.347
_cell_angle_alpha 108.45
_cell_angle_beta 90.00
_cell_angle_gamma 90.00
_space_group_name_H-M_alt 'P 1'
_space_group_IT_number 1
loop_
_space_group_symop_operation_xyz
'x,y,z'
loop_
_atom_site_label
_atom_site_fract_x
_atom_site_fract_y
_atom_site_fract_z
Tc1 0.000 0.000 0.000
Zr1 0.500 0.166 0.332
Zr2 0.500 0.834 0.668
Zr3 0.500 0.500 0.000
Os1 0.000 0.667 0.334
Os2 0.000 0.333 0.666

=====

B:
# Zr3TcOs2 (PBE, relaxed)
# Theoretical density   11.72 Mg/m³
# SG   P4/mmm, No. 123
# Total magnetization   0.0000 μB/atom
# DOS(E_F)   2.70 states/eV per cell
data_Zr3TcOs2
_chemical_formula_sum 'Zr3 Tc1 Os2'
_cell_length_a 3.289
_cell_length_b 3.289
_cell_length_c 9.854
_cell_angle_alpha 90.00
_cell_angle_beta 90.00
_cell_angle_gamma 90.00
_space_group_name_H-M_alt 'P 1'
_space_group_IT_number 1
loop_
_space_group_symop_operation_xyz
'x,y,z'
loop_
_atom_site_label
_atom_site_fract_x
_atom_site_fract_y
_atom_site_fract_z
Zr1 0.000 0.000 0.665
Zr2 0.000 0.000 0.335
Zr3 0.000 0.000 0.000
Os1 0.500 0.500 0.834
Os2 0.500 0.500 0.166
Tc1 0.500 0.500 0.500

=====

Of them, A has the highest stability.

=====

A:
# TeOs2 (PBE, relaxed)
# Theoretical density   16.65 Mg/m³
# SG   Cmcm, No. 63
# Total magnetization   0.0000 μB/atom
# DOS(E_F)   6.03 states/eV per cell
data_TeOs2
_chemical_formula_sum 'Te2 Os4'
_cell_length_a 8.006
_cell_length_b 8.006
_cell_length_c 4.277
_cell_angle_alpha 90.00
_cell_angle_beta 90.00
_cell_angle_gamma 158.30
_space_group_name_H-M_alt 'P 1'
_space_group_IT_number 1
loop_
_space_group_symop_operation_xyz
'x,y,z'
loop_
_atom_site_label
_atom_site_fract_x
_atom_site_fract_y
_atom_site_fract_z
Os1 0.566 0.434 0.250
Os2 0.434 0.566 0.750
Os3 0.219 0.781 0.250
Os4 0.781 0.219 0.750
Te1 0.895 0.105 0.250
Te2 0.105 0.895 0.750

=====

B:
# TeOs2 (PBE, relaxed)
# Theoretical density   15.01 Mg/m³
# SG   I4/mcm, No. 140
# Total magnetization   0.0000 μB/atom
# DOS(E_F)   5.60 states/eV per cell
data_TeOs2
_chemical_formula_sum 'Te2 Os4'
_cell_length_a 5.566
_cell_length_b 5.566
_cell_length_c 5.566
_cell_angle_alpha 124.58
_cell_angle_beta 124.58
_cell_angle_gamma 82.24
_space_group_name_H-M_alt 'P 1'
_space_group_IT_number 1
loop_
_space_group_symop_operation_xyz
'x,y,z'
loop_
_atom_site_label
_atom_site_fract_x
_atom_site_fract_y
_atom_site_fract_z
Os1 0.828 0.328 0.156
Os2 0.172 0.672 0.844
Os3 0.672 0.828 0.500
Os4 0.328 0.172 0.500
Te1 0.250 0.250 0.000
Te2 0.750 0.750 0.000

=====

Of them, B has the highest stability.

=====

A:
# TeOs2 (PBE, relaxed)
# Theoretical density   16.57 Mg/m³
# SG   Pnnm, No. 58
# Total magnetization   0.0000 μB/atom
# DOS(E_F)   6.48 states/eV per cell
data_TeOs2
_chemical_formula_sum 'Te2 Os4'
_cell_length_a 3.071
_cell_length_b 4.379
_cell_length_c 7.572
_cell_angle_alpha 90.00
_cell_angle_beta 90.00
_cell_angle_gamma 90.00
_space_group_name_H-M_alt 'P 1'
_space_group_IT_number 1
loop_
_space_group_symop_operation_xyz
'x,y,z'
loop_
_atom_site_label
_atom_site_fract_x
_atom_site_fract_y
_atom_site_fract_z
Os1 0.756 0.000 0.336
Os2 0.256 0.500 0.164
Os3 0.744 0.500 0.836
Os4 0.244 0.000 0.664
Te1 0.000 0.000 0.000
Te2 0.500 0.500 0.500

=====

B:
# TeOs2 (PBE, relaxed)
# Theoretical density   16.49 Mg/m³
# SG   C2/m, No. 12
# Total magnetization   0.0000 μB/atom
# DOS(E_F)   5.00 states/eV per cell
data_TeOs2
_chemical_formula_sum 'Te2 Os4'
_cell_length_a 5.690
_cell_length_b 5.690
_cell_length_c 6.486
_cell_angle_alpha 70.48
_cell_angle_beta 70.48
_cell_angle_gamma 31.30
_space_group_name_H-M_alt 'P 1'
_space_group_IT_number 1
loop_
_space_group_symop_operation_xyz
'x,y,z'
loop_
_atom_site_label
_atom_site_fract_x
_atom_site_fract_y
_atom_site_fract_z
Os1 0.622 0.622 0.994
Os2 0.378 0.378 0.006
Os3 0.058 0.058 0.695
Os4 0.942 0.942 0.305
Te1 0.686 0.686 0.341
Te2 0.314 0.314 0.659

=====

C:
# TeOs2 (PBE, relaxed)
# Theoretical density   15.17 Mg/m³
# SG   P6_3/mmc, No. 194
# Total magnetization   0.0000 μB/atom
# DOS(E_F)   5.08 states/eV per cell
data_TeOs2
_chemical_formula_sum 'Te2 Os4'
_cell_length_a 4.166
_cell_length_b 4.166
_cell_length_c 7.401
_cell_angle_alpha 90.00
_cell_angle_beta 90.00
_cell_angle_gamma 120.00
_space_group_name_H-M_alt 'P 1'
_space_group_IT_number 1
loop_
_space_group_symop_operation_xyz
'x,y,z'
loop_
_atom_site_label
_atom_site_fract_x
_atom_site_fract_y
_atom_site_fract_z
Os1 0.333 0.667 0.565
Os2 0.667 0.333 0.065
Os3 0.333 0.667 0.935
Os4 0.667 0.333 0.435
Te1 0.000 0.000 0.750
Te2 0.000 0.000 0.250

=====

Of them, C has the highest stability.